1.
Crystalline SmPu4Pd5 at its relaxed geometry. Source: Alexandria, functional PBE.

Results
Density of states at the Fermi level in states/eV per cell: 43.36
Calculated formation energy in eV/atom: -0.46
DFT total energy in eV/cell: -92.6
Space group: No. 123

a = 3.476 Å, b = 3.476 Å, c = 18.245 Å
α = 90.00°, β = 90.00°, γ = 90.00°
Element x y z (fractional)
Sm  0.000  0.000  0.000
Pu  0.000  0.000  0.202
Pu  0.000  0.000  0.401
Pu  0.000  0.000  0.599
Pu  0.000  0.000  0.798
Pd  0.500  0.500  0.099
Pd  0.500  0.500  0.301
Pd  0.500  0.500  0.500
Pd  0.500  0.500  0.699
Pd  0.500  0.500  0.901


2.
Crystalline CoIr2Ru4Rh at its relaxed geometry. Source: Alexandria, functional PBE.

Results
Density of states at the Fermi level in states/eV per cell: 14.65
Calculated formation energy in eV/atom: 1.05
DFT total energy in eV/cell: -60.9
Space group: No. 10

a = 6.142 Å, b = 3.570 Å, c = 6.189 Å
α = 90.00°, β = 109.81°, γ = 90.00°
Element x y z (fractional)
Co  0.000  0.000  0.000
Ir  0.500  0.000  0.500
Ir  0.500  0.500  0.000
Ru  0.245  0.500  0.241
Ru  0.249  0.000  0.758
Ru  0.751  0.000  0.242
Ru  0.755  0.500  0.759
Rh  0.000  0.500  0.500


3.
Crystalline NaHg at its relaxed geometry. Source: Alexandria, functional PBE.

Results
Density of states at the Fermi level in states/eV per cell: 6.74
Calculated formation energy in eV/atom: 0.08
DFT total energy in eV/cell: -5.8
Space group: No. 217

a = 8.198 Å, b = 8.198 Å, c = 8.198 Å
α = 109.47°, β = 109.47°, γ = 109.47°
Element x y z (fractional)
Na  0.000  0.000  0.599
Na  0.000  0.599  0.000
Na  0.401  0.401  0.401
Na  0.599  0.000  0.000
Hg  0.000  0.000  0.239
Hg  0.000  0.239  0.000
Hg  0.239  0.000  0.000
Hg  0.761  0.761  0.761


4.
Crystalline TbMnAl2 at its relaxed geometry. Source: Alexandria, functional PBE.

Results
Density of states at the Fermi level in states/eV per cell: 3.96
Calculated formation energy in eV/atom: -0.22
DFT total energy in eV/cell: -22.1
Space group: No. 123

a = 3.221 Å, b = 3.221 Å, c = 7.076 Å
α = 90.00°, β = 90.00°, γ = 90.00°
Element x y z (fractional)
Tb  0.000  0.000  0.000
Mn  0.000  0.000  0.500
Al  0.500  0.500  0.306
Al  0.500  0.500  0.694


5.
Crystalline CaY at its relaxed geometry. Source: Alexandria, functional PBE.

Results
Density of states at the Fermi level in states/eV per cell: 3.45
Calculated formation energy in eV/atom: 0.17
DFT total energy in eV/cell: -8.1
Space group: No. 221
E above lowest polymorph in meV per atom: 123

a = 4.149 Å, b = 4.149 Å, c = 4.149 Å
α = 90.00°, β = 90.00°, γ = 90.00°
Element x y z (fractional)
Ca  0.000  0.000  0.000
Y  0.500  0.500  0.500


6.
Crystalline YSi4TcRu2 at its relaxed geometry. Source: Alexandria, functional PBE.

Results
Density of states at the Fermi level in states/eV per cell: 4.67
DFT total energy in eV/cell: -62.2
Energy relative to the elements, uncorrected in kJ/mol of atoms: -62
Space group: No. 166

a = 8.761 Å, b = 8.761 Å, c = 8.761 Å
α = 27.11°, β = 27.11°, γ = 27.11°
Element x y z (fractional)
Y  0.000  0.000  0.000
Si  0.132  0.132  0.132
Si  0.402  0.402  0.402
Si  0.598  0.598  0.598
Si  0.868  0.868  0.868
Tc  0.500  0.500  0.500
Ru  0.237  0.237  0.237
Ru  0.763  0.763  0.763


7.
Crystalline Al2In at its relaxed geometry. Source: Alexandria, functional PBE.

Results
Density of states at the Fermi level in states/eV per cell: 2.23
Calculated formation energy in eV/atom: 0.32
DFT total energy in eV/cell: -18.5
Space group: No. 140

a = 5.563 Å, b = 5.563 Å, c = 5.563 Å
α = 110.49°, β = 110.49°, γ = 107.45°
Element x y z (fractional)
Al  0.147  0.647  0.794
Al  0.353  0.147  0.500
Al  0.647  0.853  0.500
Al  0.853  0.353  0.206
In  0.250  0.250  0.000
In  0.750  0.750  0.000


8.
Crystalline Zn5Cu5Ir at its relaxed geometry. Source: Alexandria, functional PBE.

Results
Density of states at the Fermi level in states/eV per cell: 3.33
Calculated formation energy in eV/atom: 0.12
DFT total energy in eV/cell: -34.4
Space group: No. 1

a = 4.529 Å, b = 4.529 Å, c = 8.749 Å
α = 89.95°, β = 89.94°, γ = 60.00°
Element x y z (fractional)
Zn  0.000  0.000  0.000
Zn  0.000  0.000  0.305
Zn  0.333  0.333  0.463
Zn  0.333  0.333  0.842
Zn  0.667  0.667  0.152
Cu  0.331  0.834  0.653
Cu  0.667  0.667  0.415
Cu  0.667  0.667  0.890
Cu  0.835  0.331  0.653
Cu  0.835  0.834  0.652
Ir  0.333  0.333  0.152


9.
Crystalline AgGeW3 at its relaxed geometry. Source: Alexandria, functional PBE.

Results
Density of states at the Fermi level in states/eV per cell: 5.41
Calculated formation energy in eV/atom: 2.88
DFT total energy in eV/cell: -31.9
Space group: No. 221
E above lowest polymorph in meV per atom: 1049

a = 4.804 Å, b = 4.804 Å, c = 4.804 Å
α = 90.00°, β = 90.00°, γ = 90.00°
Element x y z (fractional)
Ag  0.000  0.000  0.000
Ge  0.500  0.500  0.500
W  0.000  0.000  0.500
W  0.000  0.500  0.000
W  0.500  0.000  0.000


10.
Crystalline ZnBPt3 at its relaxed geometry. Source: Alexandria, functional PBE.

Results
Density of states at the Fermi level in states/eV per cell: 3.13
Calculated formation energy in eV/atom: -0.33
DFT total energy in eV/cell: -55.4
Space group: No. 2
E above lowest polymorph in meV per atom: 72

a = 4.272 Å, b = 6.254 Å, c = 6.270 Å
α = 117.66°, β = 96.20°, γ = 95.84°
Element x y z (fractional)
Zn  0.138  0.330  0.331
Zn  0.862  0.670  0.669
B  0.500  0.210  0.790
B  0.500  0.790  0.210
Pt  0.000  0.145  0.856
Pt  0.000  0.855  0.144
Pt  0.369  0.823  0.553
Pt  0.372  0.554  0.823
Pt  0.628  0.446  0.177
Pt  0.631  0.177  0.447


11.
Crystalline Te2AsRh at its relaxed geometry. Source: Alexandria, functional PBE.

Results
Density of states at the Fermi level in states/eV per cell: 2.10
DFT total energy in eV/cell: -18.1
Energy relative to the elements, uncorrected in kJ/mol of atoms: 4
Space group: No. 99

a = 3.516 Å, b = 3.516 Å, c = 7.787 Å
α = 90.00°, β = 90.00°, γ = 90.00°
Element x y z (fractional)
Te  0.000  0.000  0.000
Te  0.500  0.500  0.412
As  0.000  0.000  0.651
Rh  0.500  0.500  0.766


12.
Crystalline CaLa4Tm3Te8 at its relaxed geometry. Source: Alexandria, functional PBE.

Results
Density of states at the Fermi level in states/eV per cell: 10.18
DFT total energy in eV/cell: -83.3
Energy relative to the elements, uncorrected in kJ/mol of atoms: -139
Space group: No. 12

a = 8.840 Å, b = 8.840 Å, c = 9.019 Å
α = 119.35°, β = 119.35°, γ = 60.00°
Element x y z (fractional)
Ca  0.000  0.000  0.000
La  0.000  0.000  0.500
La  0.000  0.500  0.500
La  0.500  0.000  0.500
La  0.500  0.500  0.500
Tm  0.000  0.500  0.000
Tm  0.500  0.000  0.000
Tm  0.500  0.500  0.000
Te  0.245  0.740  0.230
Te  0.246  0.246  0.231
Te  0.257  0.257  0.772
Te  0.260  0.755  0.770
Te  0.740  0.245  0.230
Te  0.743  0.743  0.228
Te  0.754  0.754  0.769
Te  0.755  0.260  0.770